The following is a DFT calculation (PBE) of a relaxed structure of GdTlAgPb.

Structure (POSCAR):
```
GdTlAgPb
1.0
7.4460 0.0000 0.0000
0.0000 7.4460 0.0000
0.0000 0.0000 7.4460
Gd Tl Ag Pb
4 4 4 4
direct
0.0000 0.0000 0.0000
0.0000 0.5000 0.5000
0.5000 0.0000 0.5000
0.5000 0.5000 0.0000
0.2500 0.2500 0.7500
0.2500 0.7500 0.2500
0.7500 0.2500 0.2500
0.7500 0.7500 0.7500
0.0000 0.0000 0.5000
0.0000 0.5000 0.0000
0.5000 0.0000 0.0000
0.5000 0.5000 0.5000
0.2500 0.2500 0.2500
0.2500 0.7500 0.7500
0.7500 0.2500 0.7500
0.7500 0.7500 0.2500
```

---

The following is a DFT calculation (PBE) of a relaxed structure of GdTmAgPb.

Structure (POSCAR):
```
GdTmAgPb
1.0
7.4567 0.0000 0.0000
0.0000 7.4567 0.0000
0.0000 0.0000 7.4567
Gd Tm Ag Pb
4 4 4 4
direct
0.0000 0.0000 0.0000
0.0000 0.5000 0.5000
0.5000 0.0000 0.5000
0.5000 0.5000 0.0000
0.0000 0.0000 0.5000
0.0000 0.5000 0.0000
0.5000 0.0000 0.0000
0.5000 0.5000 0.5000
0.2500 0.2500 0.7500
0.2500 0.7500 0.2500
0.7500 0.2500 0.2500
0.7500 0.7500 0.7500
0.2500 0.2500 0.2500
0.2500 0.7500 0.7500
0.7500 0.2500 0.7500
0.7500 0.7500 0.2500
```

---

The following is a DFT calculation (PBE) of a relaxed structure of GdYAgPb.

Structure (POSCAR):
```
GdYAgPb
1.0
7.5102 0.0000 0.0000
0.0000 7.5102 0.0000
0.0000 0.0000 7.5102
Gd Y Ag Pb
4 4 4 4
direct
0.0000 0.0000 0.0000
0.0000 0.5000 0.5000
0.5000 0.0000 0.5000
0.5000 0.5000 0.0000
0.0000 0.0000 0.5000
0.0000 0.5000 0.0000
0.5000 0.0000 0.0000
0.5000 0.5000 0.5000
0.2500 0.2500 0.2500
0.2500 0.7500 0.7500
0.7500 0.2500 0.7500
0.7500 0.7500 0.2500
0.2500 0.2500 0.7500
0.2500 0.7500 0.2500
0.7500 0.2500 0.2500
0.7500 0.7500 0.7500
```

---

The following is a DFT calculation (PBE) of a relaxed structure of GdZnAgPb.

Structure (POSCAR):
```
GdZnAgPb
1.0
7.1605 0.0000 0.0000
0.0000 7.1605 0.0000
0.0000 0.0000 7.1605
Gd Zn Ag Pb
4 4 4 4
direct
0.0000 0.0000 0.0000
0.0000 0.5000 0.5000
0.5000 0.0000 0.5000
0.5000 0.5000 0.0000
0.2500 0.2500 0.2500
0.2500 0.7500 0.7500
0.7500 0.2500 0.7500
0.7500 0.7500 0.2500
0.2500 0.2500 0.7500
0.2500 0.7500 0.2500
0.7500 0.2500 0.2500
0.7500 0.7500 0.7500
0.0000 0.0000 0.5000
0.0000 0.5000 0.0000
0.5000 0.0000 0.0000
0.5000 0.5000 0.5000
```

---

The following is a DFT calculation (PBE) of a relaxed structure of GdZrAgPb.

Structure (POSCAR):
```
GdZrAgPb
1.0
7.2906 0.0000 0.0000
0.0000 7.2906 0.0000
0.0000 0.0000 7.2906
Gd Zr Ag Pb
4 4 4 4
direct
0.0000 0.0000 0.0000
0.0000 0.5000 0.5000
0.5000 0.0000 0.5000
0.5000 0.5000 0.0000
0.0000 0.0000 0.5000
0.0000 0.5000 0.0000
0.5000 0.0000 0.0000
0.5000 0.5000 0.5000
0.2500 0.2500 0.7500
0.2500 0.7500 0.2500
0.7500 0.2500 0.2500
0.7500 0.7500 0.7500
0.2500 0.2500 0.2500
0.2500 0.7500 0.7500
0.7500 0.2500 0.7500
0.7500 0.7500 0.2500
```

---

The following is a DFT calculation (PBE) of a relaxed structure of Gd2AgPd.

Structure (POSCAR):
```
Gd2AgPd
1.0
3.6010 0.0000 0.0000
0.0000 3.6010 0.0000
0.0000 0.0000 7.2719
Gd Ag Pd
2 1 1
direct
0.0000 0.0000 0.2373
0.0000 0.0000 0.7627
0.5000 0.5000 0.5000
0.5000 0.5000 0.0000
```

---

| no. | formation enthalpy at 0 K (eV per atom) | size of the total moment (μB per formula unit) |
| --- | --- | --- |
| 1 | -0.17 | 6.9 |
| 2 | -0.40 | 7.9 |
| 3 | -0.43 | 8.0 |
| 4 | -0.23 | 7.0 |
| 5 | -0.17 | 7.1 |
| 6 | -0.56 | 14.5 |